Record 1
Crystalline Li2CrFeO4 at its relaxed geometry, computed with PBE+U.

Geometry as extended XYZ:
```
8
Lattice="5.155 0.000 0.000 0.000 2.977 0.000 -1.722 0.000 4.877" Properties=species:S:1:pos:R:3 pbc="T T T"
Li 0.000 0.000 0.000
Li 2.577 1.488 0.000
Cr -0.861 1.488 2.438
Fe 1.716 0.000 2.438
O -0.011 0.000 3.539
O 0.848 1.488 1.325
O 2.584 1.488 3.552
O 3.443 0.000 1.338
```

Results
- Energy relative to the lowest polymorph listed for this composition: 9 meV/atom

---

Record 2
Crystalline W2CNO at its relaxed geometry, computed with PBE+U.

Geometry as extended XYZ:
```
5
Lattice="4.193 0.000 0.000 0.000 4.193 0.000 0.000 0.000 3.348" Properties=species:S:1:pos:R:3 pbc="T T T"
W 0.000 2.096 0.000
W 2.096 0.000 0.000
C 0.000 0.000 1.674
N 0.000 0.000 0.000
O 2.096 2.096 1.674
```

Results
- Electronic total energy: -29.249 eV/cell